No. 1
First-principles (GGA-PBE) data for an optimized crystal structure of MoPb, as listed in Alexandria.

Cell lengths 3.2155, 3.2155, 32.1201 Å; angles 90.00, 90.00, 120.00 degrees
Closest atoms and distances in Å follow each position.
Element x y z (fractional)
Mo1 0.0000 0.0000 0.1405  3 Mo 2.51
Mo2 0.0000 0.0000 0.8595  3 Mo 2.51
Mo3 0.3333 0.6667 0.5262  3 Mo 2.51
Mo4 0.3333 0.6667 0.8072  3 Mo 2.51
Mo5 0.6667 0.3333 0.1928  3 Mo 2.51
Mo6 0.6667 0.3333 0.4738  3 Mo 2.51
Pb1 0.0000 0.0000 0.3897  6 Pb 3.22, 3 Mo 3.28
Pb2 0.0000 0.0000 0.6103  6 Pb 3.22, 3 Mo 3.28
Pb3 0.3333 0.6667 0.0563  6 Pb 3.22, 3 Mo 3.28
Pb4 0.3333 0.6667 0.2770  6 Pb 3.22, 3 Mo 3.28
Pb5 0.6667 0.3333 0.7230  6 Pb 3.22, 3 Mo 3.28
Pb6 0.6667 0.3333 0.9437  6 Pb 3.22, 3 Mo 3.28

Total energy: -6.82 eV per atom
Energy relative to the elements: 0.450 eV per atom
Relative energy among the computed polymorphs: 0.124 eV/atom
Symmetry: R-3m

No. 2
First-principles (GGA-PBE) data for an optimized crystal structure of NpVCu, as listed in Alexandria.

Cell lengths 7.5242, 4.9258, 6.6576 Å; angles 90.00, 123.76, 90.00 degrees
Closest atoms and distances in Å follow each position.
Element x y z (fractional)
Np1 0.0729 0.0000 0.2147  1 V 2.18, 1 Np 2.43
Np2 0.4271 0.5000 0.7853  1 V 2.18, 1 Np 2.43
Np3 0.5729 0.5000 0.2147  1 V 2.18, 1 Np 2.43
Np4 0.9271 0.0000 0.7853  1 V 2.18, 1 Np 2.43
V1 0.2469 0.5000 0.1254  1 Np 2.18
V2 0.2531 0.0000 0.8746  1 Np 2.18
V3 0.7469 0.0000 0.1254  1 Np 2.18
V4 0.7531 0.5000 0.8746  1 Np 2.18
Cu1 0.0067 0.5000 0.3311  1 Cu 2.31, 1 V 2.54
Cu2 0.4933 0.0000 0.6689  1 Cu 2.31, 1 V 2.54
Cu3 0.5067 0.0000 0.3311  1 Cu 2.31, 1 V 2.54
Cu4 0.9933 0.5000 0.6689  1 Cu 2.31, 1 V 2.54

Total energy: -8.21 eV per atom
Energy relative to the elements: 0.507 eV per atom
Symmetry: C2/m